Material: Ce4PrTh
Method: DFT, GGA-PBE
State: relaxed

Summary:
The value obtained for the density of states at the Fermi level is 19.54 states/eV/f.u. The total energy is -34.80 eV per cell. As for the space group: No. 216.

a = 6.2932 Å, b = 6.2932 Å, c = 6.2932 Å
α = 60.00°, β = 60.00°, γ = 60.00°
Last column: nearest neighbours and their distance in Å.
Sites, in units of the cell vectors:
Ce: 0.1228 0.1228 0.1228  6 Ce 3.09-3.20
Ce: 0.1228 0.1228 0.6315  6 Ce 3.09-3.20
Ce: 0.1228 0.6315 0.1228  6 Ce 3.09-3.20
Ce: 0.6315 0.1228 0.1228  6 Ce 3.09-3.20
Pr: 0.5000 0.5000 0.5000  12 Ce 3.70, 4 Th 3.85
Th: 0.7500 0.7500 0.7500  12 Ce 3.68, 4 Pr 3.85

Material: CePrTh
Method: DFT, GGA-PBE
State: relaxed

Summary:
The value obtained for the density of states at the Fermi level is 6.55 states/eV/f.u. The energy above the most stable polymorph in this dataset is 29 meV per atom. As for the space group: No. 107.

a = 8.0375 Å, b = 8.0375 Å, c = 8.0375 Å
α = 154.44°, β = 154.44°, γ = 36.47°
Last column: nearest neighbours and their distance in Å.
Sites, in units of the cell vectors:
Ce: 0.0000 0.0000 0.0000  4 Th 3.44, 4 Ce 3.56, 4 Pr 3.69
Pr: 0.6772 0.6772 0.0000  4 Pr 3.56, 4 Th 3.60, 4 Ce 3.69
Th: 0.3460 0.3460 0.0000  4 Ce 3.44, 4 Th 3.56, 4 Pr 3.60

Material: CePrTh4
Method: DFT, GGA-PBE
State: relaxed

Summary:
The value obtained for the density of states at the Fermi level is 10.21 states/eV/f.u. The total energy is -40.17 eV per cell. As for the space group: No. 123.

a = 3.5629 Å, b = 3.5629 Å, c = 15.1068 Å
α = 90.00°, β = 90.00°, γ = 90.00°
Last column: nearest neighbours and their distance in Å.
Sites, in units of the cell vectors:
Ce: 0.0000 0.0000 0.0000  8 Th 3.48, 4 Ce 3.56
Pr: 0.5000 0.5000 0.5000  4 Pr 3.56, 8 Th 3.69
Th: 0.0000 0.0000 0.3215  8 Th 3.52-3.56, 4 Pr 3.69
Th: 0.0000 0.0000 0.6785  8 Th 3.52-3.56, 4 Pr 3.69
Th: 0.5000 0.5000 0.1586  4 Ce 3.48, 8 Th 3.52-3.56
Th: 0.5000 0.5000 0.8414  4 Ce 3.48, 8 Th 3.52-3.56

Material: CePrThTl
Method: DFT, GGA-PBE
State: relaxed

Summary:
The value obtained for the density of states at the Fermi level is 8.58 states/eV/f.u. The total energy is -20.26 eV per cell. As for the space group: No. 216.

a = 5.5416 Å, b = 5.5416 Å, c = 5.5416 Å
α = 60.00°, β = 60.00°, γ = 60.00°
Last column: nearest neighbours and their distance in Å.
Sites, in units of the cell vectors:
Ce: 0.0000 0.0000 0.0000  4 Th 3.39, 4 Pr 3.39
Pr: 0.2500 0.2500 0.2500  4 Tl 3.39, 4 Ce 3.39
Th: 0.7500 0.7500 0.7500  4 Ce 3.39, 4 Tl 3.39
Tl: 0.5000 0.5000 0.5000  4 Th 3.39, 4 Pr 3.39